(one)
A plane-wave DFT calculation with PBE-GGA was carried out for a relaxed ReRhW2 crystal.

Calculated values
The total magnetization comes out at 0.000 μB per atom. As for the crystal system: orthorhombic.

Unit cell a=3.3993 b=4.2357 c=8.5713 alpha=90.00 beta=90.00 gamma=90.00
Closest atoms and distances in Å follow each position.
Fractional positions:
Re 0.0000 0.0000 0.0000  4 Rh 2.65-2.94, 4 Re 2.72, 2 W 2.77
Re 0.5000 0.5000 0.0000  4 Rh 2.65-2.94, 4 Re 2.72, 2 W 2.77
Rh 0.0000 0.5000 0.2371  4 Re 2.65-2.94, 2 W 2.70, 4 Rh 2.72
Rh 0.5000 0.0000 0.2371  4 Re 2.65-2.94, 2 W 2.70, 4 Rh 2.72
W 0.0000 0.0000 0.4815  4 Rh 2.70-2.98, 6 W 2.72-2.82
W 0.0000 0.5000 0.7443  6 W 2.72-2.82, 2 Re 2.77
W 0.5000 0.0000 0.7443  6 W 2.72-2.82, 2 Re 2.77
W 0.5000 0.5000 0.4815  4 Rh 2.70-2.98, 6 W 2.72-2.82

---

(two)
A plane-wave DFT calculation with PBE-GGA was carried out for a relaxed ReRhW2 crystal.

Calculated values
The total magnetization comes out at 0.000 μB per atom. As for the crystal system: monoclinic.

Unit cell a=2.7121 b=4.4822 c=5.1548 alpha=90.00 beta=97.57 gamma=90.00
Closest atoms and distances in Å follow each position.
Fractional positions:
Re 0.0000 0.0000 0.0000  5 W 2.71-2.96, 2 Re 2.71, 4 Rh 2.89-2.93
Rh 0.5744 0.5000 0.2477  4 W 2.59-2.85, 2 Rh 2.71, 2 Re 2.89
W 0.2343 0.5000 0.7480  2 Rh 2.62-2.85, 2 Re 2.71, 4 W 2.71-2.79
W 0.5621 0.0000 0.4971  2 Rh 2.59, 2 Re 2.71-2.80, 4 W 2.71-2.79

---

(three)
A plane-wave DFT calculation with PBE-GGA was carried out for a relaxed ReRhW2 crystal.

Calculated values
The total magnetization comes out at 0.000 μB per atom. As for the crystal system: tetragonal.

Unit cell a=3.9682 b=3.9682 c=3.8992 alpha=90.00 beta=90.00 gamma=90.00
Closest atoms and distances in Å follow each position.
Fractional positions:
Re 0.0000 0.0000 0.0000  8 W 2.78, 4 Rh 2.81
Rh 0.5000 0.5000 0.0000  8 W 2.78, 4 Re 2.81
W 0.0000 0.5000 0.5000  4 Re 2.78, 4 Rh 2.78, 4 W 2.81
W 0.5000 0.0000 0.5000  4 Re 2.78, 4 Rh 2.78, 4 W 2.81

---

(four)
A plane-wave DFT calculation with PBE-GGA was carried out for a relaxed ReRhW2 crystal.

Calculated values
The total magnetization comes out at 0.000 μB per atom. As for the crystal system: tetragonal.

Unit cell a=2.7399 b=2.7399 c=8.2161 alpha=90.00 beta=90.00 gamma=90.00
Closest atoms and distances in Å follow each position.
Fractional positions:
Re 0.0000 0.0000 0.0000  4 Rh 2.74, 4 Re 2.74, 4 W 2.86
Rh 0.5000 0.5000 0.2353  4 Re 2.74, 4 Rh 2.74, 4 W 2.79
W 0.0000 0.0000 0.4795  8 W 2.74-2.91, 4 Rh 2.79
W 0.5000 0.5000 0.7442  8 W 2.74-2.91, 4 Re 2.86

---

(three) wins, 0.052 eV/atom ahead of the next structure.